Computed, not measured: an optimized crystal structure of DyTmInCo at the PBE level of DFT.

Calculated values
polymorph energy (0 for the lowest one): 0.0000 eV per atom
space-group type: P4mm (99)

abc: 3.3434 3.3434 7.9570
angles: 90.00 90.00 90.00
Last column: nearest neighbours and their distance in Å.
Fractional coordinates of all 4 atoms:
Dy 0.5000 0.5000 0.7774  4 Co 2.90
Tm 0.5000 0.5000 0.3661  4 Co 2.85
In 0.0000 0.0000 0.0750  4 Tm 3.31, 4 In 3.34, 4 Dy 3.35
Co 0.0000 0.0000 0.5663  4 Tm 2.85, 4 Dy 2.90